{"formula": "SbPbSN2", "functional": "GGA-PBEsol", "state": "relaxed", "formation_energy_uncorrected_ev_per_atom": 1.478, "mass_density_g_cm3": 6.955, "lattice_angstrom": [[4.2167, 0.0000, 0.0000], [0.0000, 4.2167, 0.0000], [0.0000, 0.0000, 5.2240]], "species": ["Sb", "Pb", "S", "N", "N"], "fractional_positions": [[0.0000, 0.0000, 0.0000], [0.5000, 0.5000, 0.5000], [0.5000, 0.5000, 0.0000], [0.0000, 0.5000, 0.5000], [0.5000, 0.0000, 0.5000]]}

---

{"formula": "SrPbSN2", "functional": "GGA-PBEsol", "state": "relaxed", "formation_energy_uncorrected_ev_per_atom": 0.500, "mass_density_g_cm3": 5.818, "lattice_angstrom": [[4.3599, 0.0000, 0.0000], [0.0000, 4.3599, 0.0000], [0.0000, 0.0000, 5.3290]], "species": ["Sr", "Pb", "S", "N", "N"], "fractional_positions": [[0.0000, 0.0000, 0.0000], [0.5000, 0.5000, 0.5000], [0.5000, 0.5000, 0.0000], [0.0000, 0.5000, 0.5000], [0.5000, 0.0000, 0.5000]]}

---

{"formula": "Tc2PbSN", "functional": "GGA-PBEsol", "state": "relaxed", "formation_energy_uncorrected_ev_per_atom": 0.617, "mass_density_g_cm3": 8.706, "lattice_angstrom": [[3.9232, 0.0000, 0.0000], [0.0000, 3.9232, 0.0000], [0.0000, 0.0000, 5.5673]], "species": ["Tc", "Tc", "Pb", "S", "N"], "fractional_positions": [[0.0000, 0.5000, 0.0000], [0.5000, 0.0000, 0.0000], [0.0000, 0.0000, 0.5000], [0.5000, 0.5000, 0.5000], [0.0000, 0.0000, 0.0000]]}

---

{"formula": "ZnPbSN2", "functional": "GGA-PBEsol", "state": "relaxed", "formation_energy_uncorrected_ev_per_atom": 1.103, "mass_density_g_cm3": 6.846, "lattice_angstrom": [[4.0488, 0.0000, 0.0000], [0.0000, 4.0488, 0.0000], [0.0000, 0.0000, 4.9228]], "species": ["Zn", "Pb", "S", "N", "N"], "fractional_positions": [[0.0000, 0.0000, 0.0000], [0.5000, 0.5000, 0.5000], [0.0000, 0.0000, 0.5000], [0.0000, 0.5000, 0.0000], [0.5000, 0.0000, 0.0000]]}

---

{"formula": "SbTe2PbN", "functional": "GGA-PBEsol", "state": "relaxed", "formation_energy_uncorrected_ev_per_atom": 0.546, "mass_density_g_cm3": 7.386, "lattice_angstrom": [[5.8368, 0.0000, 0.0000], [0.0000, 5.8368, 0.0000], [0.0000, 0.0000, 3.9471]], "species": ["Sb", "Te", "Te", "Pb", "N"], "fractional_positions": [[0.0000, 0.0000, 0.0000], [0.0000, 0.5000, 0.0000], [0.5000, 0.0000, 0.0000], [0.5000, 0.5000, 0.5000], [0.0000, 0.0000, 0.5000]]}

---

{"formula": "ScPb3N", "functional": "GGA-PBEsol", "state": "relaxed", "formation_energy_uncorrected_ev_per_atom": 1.362, "mass_density_g_cm3": 6.607, "lattice_angstrom": [[5.5510, 0.0000, 0.0000], [0.0000, 5.5510, 0.0000], [0.0000, 0.0000, 5.5510]], "species": ["Sc", "Pb", "Pb", "Pb", "N"], "fractional_positions": [[0.0000, 0.0000, 0.0000], [0.0000, 0.0000, 0.5000], [0.0000, 0.5000, 0.0000], [0.5000, 0.0000, 0.0000], [0.5000, 0.5000, 0.5000]]}

---

Number 1: E_tot -4.521 eV/atom. Number 2: E_tot -4.955 eV/atom. Number 3: E_tot -7.272 eV/atom. Number 4: E_tot -4.301 eV/atom. Number 5: E_tot -4.281 eV/atom. Number 6: E_tot -4.063 eV/atom.